The following is a PBE calculation of IrNF3 after structural relaxation, from Alexandria via LeMat-Bulk.

Unit cell a=4.062 b=4.062 c=4.062 alpha=90.00 beta=90.00 gamma=90.00
Space group Pm-3m (No. 221)
One atom of each set of equivalent atoms:
Ir  0.000  0.000  0.000
N  0.500  0.500  0.500
F  0.000  0.000  0.500

Output
- V: 13.40 Å³/atom
- N(E_F): 3.85 states/eV per atom

The following is a PBE calculation of ScTc2Ge2 after structural relaxation, from Alexandria via LeMat-Bulk.

Unit cell a=4.389 b=4.389 c=9.441 alpha=90.00 beta=90.00 gamma=90.00
Space group I4/mmm (No. 139)
One atom of each set of equivalent atoms:
Sc  0.000  0.000  0.000
Tc  0.000  0.000  0.380
Ge  0.000  0.500  0.250

Output
- V: 18.19 Å³/atom
- Energy of formation: -0.110 eV per atom
- N(E_F): 1.00 states/eV per atom

no.,excess energy over the best structure of this formula in the dataset (eV/f.u.)
1,0.000
2,1.142